(1)
Density functional theory data (PBE) for a geometry-optimized Ti6MnSn3 structure.

a = 7.1046 Å, b = 5.8100 Å, c = 5.8100 Å
α = 61.03°, β = 73.29°, γ = 73.29°
Closest atoms and distances in Å follow each position.
Fractional coordinates of all 10 atoms:
Ti: 0.3680 0.1298 0.6512  1 Mn 2.27
Ti: 0.6320 0.3488 0.8702  1 Mn 2.27
Ti: 0.6320 0.8702 0.3488  1 Mn 2.27
Ti: 0.3680 0.6512 0.1298  1 Mn 2.27
Ti: 0.1833 0.6821 0.6821  1 Mn 2.38
Ti: 0.8167 0.3179 0.3179  1 Mn 2.38
Mn: 0.5000 0.5000 0.5000  6 Ti 2.27-2.38
Sn: 0.2545 0.1846 0.1846  9 Ti 2.89-3.12, 1 Sn 2.99
Sn: 0.7455 0.8154 0.8154  9 Ti 2.89-3.12, 1 Sn 2.99
Sn: 0.0000 0.0000 0.0000  6 Ti 2.85-3.01, 2 Sn 2.99

Calculated values
The final energy is -0.50223 Ry per atom. For the spin magnetization, the calculation gives 0.00 μB per cell.

(2)
Density functional theory data (PBE) for a geometry-optimized Ti3MnSn structure.

a = 5.1648 Å, b = 5.1648 Å, c = 5.1648 Å
α = 90.00°, β = 90.00°, γ = 90.00°
Closest atoms and distances in Å follow each position.
Fractional coordinates of all 5 atoms:
Mn: 0.5000 0.5000 0.5000  12 Ti 3.65
Sn: 0.0000 0.0000 0.0000  6 Ti 2.58
Ti: 0.0000 0.5000 0.0000  2 Sn 2.58
Ti: 0.0000 0.0000 0.5000  2 Sn 2.58
Ti: 0.5000 0.0000 0.0000  2 Sn 2.58

Calculated values
The final energy is -0.41512 Ry per atom. For the spin magnetization, the calculation gives 2.94 μB per cell.

(3)
Density functional theory data (PBE) for a geometry-optimized TiMnZn2Sn structure.

a = 4.8093 Å, b = 4.3091 Å, c = 4.8093 Å
α = 90.00°, β = 90.00°, γ = 90.00°
Closest atoms and distances in Å follow each position.
Fractional coordinates of all 5 atoms:
Zn: 0.0000 0.0000 0.5000  2 Mn 2.40
Zn: 0.5000 0.0000 0.0000  2 Mn 2.40
Mn: 0.0000 0.0000 0.0000  2 Ti 2.15, 4 Zn 2.40
Sn: 0.5000 0.5000 0.5000  8 Zn 3.23, 4 Ti 3.40
Ti: 0.0000 0.5000 0.0000  2 Mn 2.15

Calculated values
The final energy is -0.31787 Ry per atom. For the spin magnetization, the calculation gives 1.24 μB per cell.

(4)
Density functional theory data (PBE) for a geometry-optimized MnTl2Sn structure.

a = 4.3578 Å, b = 4.3578 Å, c = 11.5005 Å
α = 79.08°, β = 79.08°, γ = 90.00°
Closest atoms and distances in Å follow each position.
Fractional coordinates of all 8 atoms:
Tl: 0.6163 0.1250 0.2500  4 Tl 3.03-3.14, 2 Mn 3.16, 2 Sn 3.18
Tl: 0.1337 0.6250 0.2500  4 Tl 3.03-3.14, 2 Mn 3.16, 2 Sn 3.18
Tl: 0.3750 0.3837 0.7500  4 Tl 3.03-3.14, 2 Mn 3.16, 2 Sn 3.18
Tl: 0.8750 0.8663 0.7500  4 Tl 3.03-3.14, 2 Mn 3.16, 2 Sn 3.18
Mn: 0.5000 0.5000 0.0000  4 Sn 3.08, 4 Tl 3.16
Mn: 0.2500 0.7500 0.5000  4 Sn 3.08, 4 Tl 3.16
Sn: 0.0000 0.0000 0.0000  4 Mn 3.08, 4 Tl 3.18
Sn: 0.7500 0.2500 0.5000  4 Mn 3.08, 4 Tl 3.18

Calculated values
The final energy is -0.30025 Ry per atom. For the spin magnetization, the calculation gives 7.92 μB per cell.

The calculation returns the following formation energy from the elements values, one per record and in order: 0.022, 1.723, 0.398, 0.391 eV/atom.